VASP calculation (GGA-PBE) on crystalline H2Os2S at its relaxed geometry.

Results
The calculation puts the magnetization at 0.000 μB/atom. For the offset from the most stable computed form, the calculation gives 0.00 kJ per mole of atoms.

abc: 5.623 5.623 3.100
angles: 90.00 90.00 90.00
Fractional coordinates of all 10 atoms:
H  0.086  0.414  0.000
H  0.414  0.914  0.000
H  0.586  0.086  0.000
H  0.914  0.586  0.000
Os  0.184  0.316  0.500
Os  0.316  0.816  0.500
Os  0.684  0.184  0.500
Os  0.816  0.684  0.500
S  0.000  0.000  0.000
S  0.500  0.500  0.000